1.
ScB4Ir | PBE | optimized geometry

Its energy relative to the lowest polymorph listed for this composition is 0.237 eV per atom. Its crystal system is orthorhombic. The value obtained for the total DFT energy (no corrections) is -87.8 eV/cell.

The space group is Immm (No. 71) and the conventional cell measures 3.135, 5.215 and 6.827 Å, with angles of 90.00, 90.00 and 90.00 degrees. The inequivalent atoms are Sc at (0.000, 0.000, 0.000), B at (0.000, 0.330, 0.258) and Ir at (0.000, 0.000, 0.500).

---

2.
Lu2ZrPt | PBE | optimized geometry

The energy of formation is -6.54 kcal/mol of atoms. Its crystal system is cubic. The value obtained for the total DFT energy (no corrections) is -99.1 eV/cell.

The space group is F-43m (No. 216) and the conventional cell measures 7.024, 7.024 and 7.024 Å, with angles of 90.00, 90.00 and 90.00 degrees. The inequivalent atoms are Lu at (0.000, 0.000, 0.000), Lu at (0.250, 0.250, 0.250), Zr at (0.250, 0.250, 0.750) and Pt at (0.000, 0.000, 0.500).

---

3.
TlPd5Se | PBE | optimized geometry

Its crystal system is tetragonal. The value obtained for the total DFT energy (no corrections) is -33.3 eV/cell.

The space group is P4/mmm (No. 123) and the conventional cell measures 4.083, 4.083 and 7.120 Å, with angles of 90.00, 90.00 and 90.00 degrees. The inequivalent atoms are Tl at (0.000, 0.000, 0.000), Pd at (0.000, 0.500, 0.286), Pd at (0.500, 0.500, 0.000) and Se at (0.500, 0.500, 0.500).

---

4.
Nd2Y2CI2Br2Cl | PBE | optimized geometry

Its energy relative to the lowest polymorph listed for this composition is 0.000 eV per atom. Its crystal system is monoclinic. The value obtained for the total DFT energy (no corrections) is -107.0 eV/cell.

The space group is C2/m (No. 12) and the conventional cell measures 18.943, 3.928 and 8.189 Å, with angles of 90.00, 101.94 and 90.00 degrees. The inequivalent atoms are Nd at (0.001, 0.000, 0.287), Y at (0.131, 0.500, 0.569), C at (0.000, 0.500, 0.500), I at (0.173, 0.000, 0.315), Br at (0.160, 0.000, 0.831) and Cl at (0.000, 0.500, 0.000).